18
Lattice="4.611 0.000 0.000 0.000 4.611 0.000 0.000 0.000 9.091" Properties=species:S:1:pos:R:3 comment="Fe2SbO6 PBE+U optimized geometry" spacegroup="P4_2/mnm, No. 136" crystal_system=tetragonal dos_at_fermi_per_ev_cell=4.02 dft_energy_ev_per_atom=-6.157 pbc="T T T"
Fe 0.000 0.000 1.512
Fe 0.000 0.000 7.579
Fe 2.305 2.305 3.034
Fe 2.305 2.305 6.057
Sb 0.000 0.000 4.545
Sb 2.305 2.305 0.000
O 0.864 0.864 0.000
O 0.892 0.892 2.992
O 0.892 0.892 6.099
O 1.413 3.198 1.553
O 1.413 3.198 7.537
O 1.441 3.170 4.545
O 3.170 1.441 4.545
O 3.198 1.413 1.553
O 3.198 1.413 7.537
O 3.719 3.719 2.992
O 3.719 3.719 6.099
O 3.746 3.746 0.000